[1]
Computed, not measured: a relaxed Al2PtRh crystal at the PBE-GGA level of DFT.

Calculated values
Final energy in eV/cell: -24.88
Total moment in μB/cell: 0.0

Cell: 4.3308 4.3308 3.0171 Å, 90.00 90.00 90.00°
With the nearest neighbours (Å) after each atom.
Space group P4/mmm (No. 123)
One atom of each set of equivalent atoms:
Al1 0.0000 0.5000 0.0000 x2  4 Rh 2.64, 4 Pt 2.64
Pt1 0.0000 0.0000 0.5000 x1  8 Al 2.64
Rh1 0.5000 0.5000 0.5000 x1  8 Al 2.64

---

[2]
Computed, not measured: a relaxed Al2PtRh crystal at the PBE-GGA level of DFT.

Calculated values
Final energy in eV/cell: -24.95
Total moment in μB/cell: 0.0

Cell: 2.9703 3.2924 5.7822 Å, 90.00 90.12 90.00°
With the nearest neighbours (Å) after each atom.
Space group P2/m (No. 10)
One atom of each set of equivalent atoms:
Al1 0.0003 0.0000 0.2430 x2  4 Rh 2.62-2.63, 4 Pt 2.67, 1 Al 2.81
Pt1 0.5000 0.5000 0.5000 x1  8 Al 2.67, 2 Rh 2.89, 2 Pt 2.97
Rh1 0.5000 0.5000 0.0000 x1  8 Al 2.62-2.63, 2 Pt 2.89

---

[3]
Computed, not measured: a relaxed Al2PtRh crystal at the PBE-GGA level of DFT.

Calculated values
Final energy in eV/cell: -48.71
Total moment in μB/cell: 0.0

Cell: 3.0262 4.1445 9.2728 Å, 90.00 90.00 90.00°
With the nearest neighbours (Å) after each atom.
Space group Imm2 (No. 44)
One atom of each set of equivalent atoms:
Al1 0.0000 0.0000 0.0000 x2  4 Pt 2.57, 2 Rh 2.60
Al2 0.0000 0.5000 0.2330 x2  4 Rh 2.57, 2 Pt 2.65
Pt1 0.0000 0.0000 0.4983 x2  6 Al 2.57-2.65
Rh1 0.0000 0.5000 0.7277 x2  6 Al 2.57-2.60

---

[4]
Computed, not measured: a relaxed Al4PtRh crystal at the PBE-GGA level of DFT.

Calculated values
Final energy in eV/cell: -118.70
Total moment in μB/cell: 0.0

Cell: 7.0809 7.0809 7.0809 Å, 90.00 90.00 90.00°
With the nearest neighbours (Å) after each atom.
Space group F-43m (No. 216)
One atom of each set of equivalent atoms:
Al1 0.1253 0.1253 0.1253 x16  6 Al 2.50-2.51
Pt1 0.2500 0.2500 0.7500 x4  12 Al 2.94, 4 Rh 3.07
Rh1 0.0000 0.0000 0.5000 x4  12 Al 2.94, 4 Pt 3.07

---

[5]
Computed, not measured: a relaxed AlPt6Rh crystal at the PBE-GGA level of DFT.

Calculated values
Final energy in eV/cell: -49.98
Total moment in μB/cell: 0.0

Cell: 3.9231 3.9231 7.9035 Å, 90.00 90.00 90.00°
With the nearest neighbours (Å) after each atom.
Space group P4/mmm (No. 123)
One atom of each set of equivalent atoms:
Al1 0.0000 0.0000 0.0000 x1  12 Pt 2.76-2.77
Pt1 0.0000 0.5000 0.2453 x4  2 Al 2.76, 8 Pt 2.76-2.81, 2 Rh 2.81
Pt2 0.5000 0.5000 0.0000 x1  8 Pt 2.76, 4 Al 2.77
Pt3 0.5000 0.5000 0.5000 x1  4 Rh 2.77, 8 Pt 2.81
Rh1 0.0000 0.0000 0.5000 x1  12 Pt 2.77-2.81

---

[6]
Computed, not measured: a relaxed AlPtRh3 crystal at the PBE-GGA level of DFT.

Calculated values
Final energy in eV/cell: -25.41
Total moment in μB/cell: 1.9
ΔE to the lowest computed polymorph in meV/atom: 576

Cell: 4.7732 4.7732 4.7732 Å, 90.00 90.00 90.00°
With the nearest neighbours (Å) after each atom.
Space group Pm-3m (No. 221)
One atom of each set of equivalent atoms:
Al1 0.0000 0.0000 0.0000 x1  12 Rh 3.38
Pt1 0.5000 0.5000 0.5000 x1  6 Rh 2.39
Rh1 0.0000 0.5000 0.5000 x3  2 Pt 2.39

---

[7]
Computed, not measured: a relaxed Al2PtRh crystal at the PBE-GGA level of DFT.

Calculated values
Final energy in eV/cell: -71.85
Total moment in μB/cell: 0.0

Cell: 2.9202 2.9202 23.9620 Å, 90.00 90.00 120.00°
With the nearest neighbours (Å) after each atom.
Space group R-3m (No. 166, hexagonal axes)
One atom of each set of equivalent atoms:
Al1 0.0000 0.0000 0.2474 x6  3 Rh 2.57, 3 Pt 2.66
Pt1 0.0000 0.0000 0.0000 x3  6 Al 2.66, 6 Pt 2.92
Rh1 0.0000 0.0000 0.5000 x3  6 Al 2.57

---

[8]
Computed, not measured: a relaxed Al2Pt9Rh crystal at the PBE-GGA level of DFT.

Calculated values
Final energy in eV/cell: -74.67
Total moment in μB/cell: 0.0

Cell: 3.9271 3.9271 11.8015 Å, 90.00 90.00 90.00°
With the nearest neighbours (Å) after each atom.
Space group P4/mmm (No. 123)
One atom of each set of equivalent atoms:
Al1 0.0000 0.0000 0.1669 x2  12 Pt 2.75-2.78
Pt1 0.0000 0.5000 0.0000 x2  8 Pt 2.76-2.78, 4 Al 2.78
Pt2 0.0000 0.5000 0.3294 x4  2 Al 2.75, 8 Pt 2.76-2.81, 2 Rh 2.81
Pt3 0.5000 0.5000 0.1646 x2  8 Pt 2.76, 4 Al 2.78
Pt4 0.5000 0.5000 0.5000 x1  4 Rh 2.78, 8 Pt 2.81
Rh1 0.0000 0.0000 0.5000 x1  12 Pt 2.78-2.81